Entry from the Alexandria database: an optimized crystal structure of MnTl2F6 (GGA+U).

a b c (Å): 8.6952 8.6952 8.6952
angles (deg): 90.00 90.00 90.00
Last column: nearest neighbours and their distance in Å.
Space group Fm-3m (No. 225)
Inequivalent atoms, fractional coordinates:
Mn 0.0000 0.0000 0.0000 [4 per cell]  6 F 1.85
Tl 0.2500 0.2500 0.2500 [8 per cell]  12 F 3.09
F 0.0000 0.0000 0.2127 [24 per cell]  1 Mn 1.85

Calculated values
- E (eV/atom) = -4.73